The following is a PBE calculation of a geometry-optimized Cr2InCl structure, from Alexandria.

The structure belongs to space group F-43m (No. 216); the cell edges are 7.094, 7.094 and 7.094 Å and the angles 90.00°, 90.00° and 90.00°. The asymmetric unit holds Cr at (0.000, 0.000, 0.000), Cr at (0.250, 0.250, 0.250), In at (0.250, 0.250, 0.750) and Cl at (0.000, 0.000, 0.500).

As for the energy relative to the lowest polymorph listed for this composition: 0.738 eV per atom. As for the raw formation energy: 817 meV per atom. The calculation puts the density at 4.731 Mg/m³. The total magnetization is 37.3 μB/cell.

***

The following is a PBE calculation of a geometry-optimized CrIn2Cl structure, from Alexandria.

The structure belongs to space group Cm (No. 8); the cell edges are 11.106, 3.203 and 6.055 Å and the angles 90.00°, 119.09° and 90.00°. The asymmetric unit holds Cr at (0.000, 0.000, 0.000), In at (0.086, 0.500, 0.450), In at (0.244, 0.500, 0.046) and Cl at (0.386, 0.000, 0.654).

As for the energy relative to the lowest polymorph listed for this composition: 0.081 eV per atom. As for the raw formation energy: -19 meV per atom. The calculation puts the density at 5.595 Mg/m³. The total magnetization is 7.6 μB/cell.

***

> What is the total magnetization in the first record?

37.3 μB/cell